Here is AgIF4 after structural relaxation from Alexandria. Energies are from PBE.

Calculated values
V: 107.5 Å³/f.u.
Fermi-level density of states: 0.000 states/eV/atom
polymorph energy (0 for the lowest one): 0.00 kcal/mol of atoms

Cell and atoms, written as CIF:
```
data_AgIF4
_chemical_formula_sum 'Ag4 I4 F16'
_cell_length_a 7.2900
_cell_length_b 15.3445
_cell_length_c 5.0639
_cell_angle_alpha 90.00
_cell_angle_beta 130.61
_cell_angle_gamma 90.00
_space_group_name_H-M_alt 'C 1 2/c 1'
_space_group_IT_number 15
_space_group_name_Hall '-C 2yc'
loop_
_atom_site_label
_atom_site_fract_x
_atom_site_fract_y
_atom_site_fract_z
Ag1 0.0000 0.1466 0.2500
I1 0.0000 0.3776 0.7500
F1 0.1521 0.2800 0.6721
F2 0.2168 0.4495 0.6958
```


Here is Ag2IF6 after structural relaxation from Alexandria. Energies are from PBE.

Calculated values
V: 158.2 Å³/f.u.

Cell and atoms, written as CIF:
```
data_Ag2IF6
_chemical_formula_sum 'Ag4 I2 F12'
_cell_length_a 5.1274
_cell_length_b 5.1274
_cell_length_c 12.0333
_cell_angle_alpha 90.00
_cell_angle_beta 90.00
_cell_angle_gamma 90.00
_space_group_name_H-M_alt 'P 42/m n m'
_space_group_IT_number 136
_space_group_name_Hall '-P 4n 2n'
loop_
_atom_site_label
_atom_site_fract_x
_atom_site_fract_y
_atom_site_fract_z
Ag1 0.0000 0.0000 0.1743
I1 0.0000 0.0000 0.5000
F1 0.1770 0.1770 0.3487
F2 0.2190 0.2190 0.0000
```


Here is Ag3I2F after structural relaxation from Alexandria. Energies are from PBE.

Calculated values
V: 177.0 Å³/f.u.
Fermi-level density of states: 0.000 states/eV/atom
polymorph energy (0 for the lowest one): 0.00 kcal/mol of atoms

Cell and atoms, written as CIF:
```
data_Ag3I2F
_chemical_formula_sum 'Ag12 I8 F4'
_cell_length_a 16.0851
_cell_length_b 6.9734
_cell_length_c 6.3131
_cell_angle_alpha 90.00
_cell_angle_beta 90.00
_cell_angle_gamma 90.00
_space_group_name_H-M_alt 'C m c m'
_space_group_IT_number 63
_space_group_name_Hall '-C 2c 2'
loop_
_atom_site_label
_atom_site_fract_x
_atom_site_fract_y
_atom_site_fract_z
Ag1 0.0000 0.0129 0.2500
Ag2 0.1064 0.5000 0.0000
I1 0.1489 0.1944 0.7500
F1 0.0000 0.3417 0.2500
```


Here is Ag4IF5 after structural relaxation from Alexandria. Energies are from PBE.

Calculated values
V: 213.2 Å³/f.u.
Fermi-level density of states: 0.802 states/eV/atom

Cell and atoms, written as CIF:
```
data_Ag4IF5
_chemical_formula_sum 'Ag8 I2 F10'
_cell_length_a 7.1168
_cell_length_b 12.5262
_cell_length_c 4.7834
_cell_angle_alpha 90.00
_cell_angle_beta 90.00
_cell_angle_gamma 90.00
_space_group_name_H-M_alt 'P m m n'
_space_group_IT_number 59
loop_
_space_group_symop_operation_xyz
'x,y,z'
'-x,-y,-z'
'-x+1/2,-y+1/2,z'
'x+1/2,y+1/2,-z'
'x+1/2,-y,-z'
'-x+1/2,y,z'
'-x,y+1/2,-z'
'x,-y+1/2,z'
loop_
_atom_site_label
_atom_site_fract_x
_atom_site_fract_y
_atom_site_fract_z
Ag1 0.0037 0.2500 0.2254
Ag2 0.2500 0.0034 0.5084
I1 0.2500 0.2500 0.7910
F1 0.0015 0.5721 0.7164
F2 0.2500 0.7500 0.5136
```


Here is Ag3IF2 after structural relaxation from Alexandria. Energies are from PBE.

Calculated values
V: 137.1 Å³/f.u.

Cell and atoms, written as CIF:
```
data_Ag3IF2
_chemical_formula_sum 'Ag12 I4 F8'
_cell_length_a 16.5879
_cell_length_b 4.6325
_cell_length_c 7.4667
_cell_angle_alpha 90.00
_cell_angle_beta 107.17
_cell_angle_gamma 90.00
_space_group_name_H-M_alt 'C 1 2/m 1'
_space_group_IT_number 12
_space_group_name_Hall '-C 2y'
loop_
_atom_site_label
_atom_site_fract_x
_atom_site_fract_y
_atom_site_fract_z
Ag1 0.0506 0.0000 0.3749
Ag2 0.0940 0.5000 0.9549
Ag3 0.2162 0.5000 0.3211
I1 0.1312 0.0000 0.7866
F1 0.0576 0.5000 0.2357
F2 0.1902 0.0000 0.3505
```


Here is Ag3I2F after structural relaxation from Alexandria. Energies are from PBE.

Calculated values
V: 162.3 Å³/f.u.
polymorph energy (0 for the lowest one): 0.52 kcal/mol of atoms

Cell and atoms, written as CIF:
```
data_Ag3I2F
_chemical_formula_sum 'Ag6 I4 F2'
_cell_length_a 4.9606
_cell_length_b 13.8917
_cell_length_c 4.7102
_cell_angle_alpha 90.00
_cell_angle_beta 90.00
_cell_angle_gamma 90.00
_space_group_name_H-M_alt 'I m m 2'
_space_group_IT_number 44
_space_group_name_Hall 'I 2 -2'
loop_
_atom_site_label
_atom_site_fract_x
_atom_site_fract_y
_atom_site_fract_z
Ag1 0.0000 0.0000 0.0000
Ag2 0.0000 0.3411 0.2750
I1 0.0000 0.1464 0.4651
F1 0.0000 0.5000 0.4575
```


Here is AgI3F after structural relaxation from Alexandria. Energies are from PBE.

Calculated values
V: 177.3 Å³/f.u.
Fermi-level density of states: 1.856 states/eV/atom
polymorph energy (0 for the lowest one): 0.00 kcal/mol of atoms

Cell and atoms, written as CIF:
```
data_AgI3F
_chemical_formula_sum 'Ag1 I3 F1'
_cell_length_a 5.6175
_cell_length_b 5.6175
_cell_length_c 5.6175
_cell_angle_alpha 90.00
_cell_angle_beta 90.00
_cell_angle_gamma 90.00
_space_group_name_H-M_alt 'P m -3 m'
_space_group_IT_number 221
_space_group_name_Hall '-P 4 2 3'
loop_
_atom_site_label
_atom_site_fract_x
_atom_site_fract_y
_atom_site_fract_z
Ag1 0.0000 0.0000 0.0000
I1 0.0000 0.0000 0.5000
F1 0.5000 0.5000 0.5000
```


Here is AgIF4 after structural relaxation from Alexandria. Energies are from PBE.

Calculated values
V: 132.3 Å³/f.u.
polymorph energy (0 for the lowest one): 1.71 kcal/mol of atoms

Cell and atoms, written as CIF:
```
data_AgIF4
_chemical_formula_sum 'Ag4 I4 F16'
_cell_length_a 6.8795
_cell_length_b 7.5268
_cell_length_c 10.2212
_cell_angle_alpha 90.00
_cell_angle_beta 90.00
_cell_angle_gamma 90.00
_space_group_name_H-M_alt 'I m m a'
_space_group_IT_number 74
_space_group_name_Hall '-I 2b 2'
loop_
_atom_site_label
_atom_site_fract_x
_atom_site_fract_y
_atom_site_fract_z
Ag1 0.0000 0.0000 0.0000
I1 0.0000 0.2500 0.3870
F1 0.0000 0.0176 0.6336
F2 0.1938 0.2500 0.0904
```


Number 1: density 4800 kg/m3, formation energy without anion corrections -1.246 eV/atom. Number 2: density 4794 kg/m3, formation energy without anion corrections -1.172 eV/atom. Number 3: density 5594 kg/m3, formation energy without anion corrections -0.489 eV/atom. Number 4: density 5089 kg/m3, formation energy without anion corrections -0.907 eV/atom. Number 5: density 5919 kg/m3, formation energy without anion corrections -0.737 eV/atom. Number 6: density 6102 kg/m3, formation energy without anion corrections -0.467 eV/atom. Number 7: density 4755 kg/m3, formation energy without anion corrections 0.165 eV/atom. Number 8: density 3900 kg/m3, formation energy without anion corrections -1.172 eV/atom.